SrCu2PAu2 GGA-PBE relaxed; ΔE_f = -0.3509 eV/atom; magnetization = 0.00 μB per formula unit; calculated volume = 119.6 Å³/f.u.; space-group type = P4/mmm
1.0
4.454 0.000 0.000
0.000 4.454 0.000
0.000 0.000 6.028
Sr Cu P Au
1 2 1 2
direct
0.000 0.000 0.000 Sr
0.000 0.500 0.500 Cu
0.500 0.000 0.500 Cu
0.000 0.000 0.500 P
0.500 0.500 0.228 Au
0.500 0.500 0.772 Au

***

RbGa3Au6 GGA-PBE relaxed; ΔE_f = -0.1841 eV/atom; magnetization = 0.00 μB per formula unit; calculated volume = 217.5 Å³/f.u.; space-group type = P2_1/c
1.0
6.977 0.000 0.000
0.000 6.711 0.000
-4.037 0.000 9.290
Rb Ga Au
2 6 12
direct
0.000 0.000 0.000 Rb
0.000 0.500 0.500 Rb
0.329 0.001 0.607 Ga
0.329 0.499 0.107 Ga
0.500 0.000 0.000 Ga
0.500 0.500 0.500 Ga
0.671 0.501 0.893 Ga
0.671 0.999 0.393 Ga
0.016 0.501 0.851 Au
0.016 0.999 0.351 Au
0.334 0.724 0.811 Au
0.334 0.776 0.311 Au
0.335 0.223 0.313 Au
0.335 0.277 0.813 Au
0.665 0.723 0.187 Au
0.665 0.777 0.687 Au
0.666 0.224 0.689 Au
0.666 0.276 0.189 Au
0.984 0.001 0.649 Au
0.984 0.499 0.149 Au